The following is a DFT calculation (PBE) of a geometry-optimized Cs3GaW structure.

**VASP energy**: -2.182 eV/atom
**Energy relative to the elements**: 1.526 eV per atom
**D(E_F)**: 7.69 states/eV per cell

Lattice parameters (Å, degrees): 7.2420 7.2420 7.2420 90.00 90.00 90.00
Closest atoms and distances in Å follow each position.
Space group Pm-3m (No. 221)
Asymmetric unit:
Cs: 0.0000 0.0000 0.5000 [3 per cell]  2 W 3.62
Ga: 0.5000 0.5000 0.5000 [1 per cell]  12 Cs 5.12
W: 0.0000 0.0000 0.0000 [1 per cell]  6 Cs 3.62

***

The following is a DFT calculation (PBE) of a geometry-optimized CsGa2W structure.

**VASP energy**: -4.126 eV/atom
**Energy relative to the elements**: 0.839 eV per atom
**ΔE to the lowest computed polymorph**: 0.000 eV per atom
**D(E_F)**: 13.64 states/eV per cell

Lattice parameters (Å, degrees): 6.9461 6.9461 13.9091 90.00 90.00 90.00
Closest atoms and distances in Å follow each position.
Space group I-42d (No. 122)
Asymmetric unit:
Cs: 0.0000 0.0000 0.0000 [4 per cell]  8 Ga 4.25-4.26
Ga: 0.0016 0.7500 0.6250 [8 per cell]  2 W 2.46
W: 0.0000 0.0000 0.5000 [4 per cell]  4 Ga 2.46

***

The following is a DFT calculation (PBE) of a geometry-optimized CsGa2W structure.

**VASP energy**: -3.569 eV/atom
**Energy relative to the elements**: 1.396 eV per atom
**ΔE to the lowest computed polymorph**: 0.556 eV per atom
**D(E_F)**: 19.35 states/eV per cell

Lattice parameters (Å, degrees): 7.1490 7.1490 7.1490 90.00 90.00 90.00
Closest atoms and distances in Å follow each position.
Space group Fm-3m (No. 225)
Asymmetric unit:
Cs: 0.0000 0.0000 0.0000 [4 per cell]  8 Ga 3.10
Ga: 0.2500 0.2500 0.2500 [8 per cell]  4 W 3.10, 4 Cs 3.10
W: 0.0000 0.0000 0.5000 [4 per cell]  8 Ga 3.10

***

The following is a DFT calculation (PBE) of a geometry-optimized Cs2GaW structure.

**VASP energy**: -2.684 eV/atom
**Energy relative to the elements**: 1.738 eV per atom
**D(E_F)**: 9.42 states/eV per cell

Lattice parameters (Å, degrees): 4.6726 4.6726 25.5343 90.00 90.00 90.00
Closest atoms and distances in Å follow each position.
Space group I-42d (No. 122)
Asymmetric unit:
Cs: 0.2486 0.2500 0.1250 [8 per cell]  4 Cs 3.29-3.31, 2 W 3.59, 2 Ga 3.60
Ga: 0.0000 0.0000 0.5000 [4 per cell]  4 W 3.30, 4 Cs 3.60
W: 0.0000 0.0000 0.0000 [4 per cell]  4 Ga 3.30, 4 Cs 3.59

***

The following is a DFT calculation (PBE) of a geometry-optimized CsGaW2 structure.

**VASP energy**: -5.285 eV/atom
**Energy relative to the elements**: 2.162 eV per atom
**D(E_F)**: 19.97 states/eV per cell

Lattice parameters (Å, degrees): 8.1336 8.1336 5.4617 90.00 90.00 90.00
Closest atoms and distances in Å follow each position.
Space group I-42d (No. 122)
Asymmetric unit:
Cs: 0.0000 0.0000 0.0000 [4 per cell]  2 Ga 2.73
Ga: 0.0000 0.0000 0.5000 [4 per cell]  4 W 2.63, 2 Cs 2.73
W: 0.1878 0.2500 0.6250 [8 per cell]  2 Ga 2.63, 2 W 2.91

***

The following is a DFT calculation (PBE) of a geometry-optimized CsY2Ga2 structure.

**VASP energy**: -4.101 eV/atom
**Energy relative to the elements**: -0.134 eV per atom
**ΔE to the lowest computed polymorph**: 0.000 eV per atom
**D(E_F)**: 6.11 states/eV per cell

Lattice parameters (Å, degrees): 9.2195 9.2195 3.3791 90.00 90.00 90.00
Closest atoms and distances in Å follow each position.
Space group P4/mbm (No. 127)
Asymmetric unit:
Cs: 0.0000 0.0000 0.0000 [2 per cell]  2 Cs 3.38, 4 Y 3.62
Y: 0.1300 0.3700 0.0000 [4 per cell]  6 Ga 3.15-3.23, 3 Y 3.38-3.39
Ga: 0.1663 0.6663 0.5000 [4 per cell]  6 Y 3.15-3.23, 2 Ga 3.38

***

The following is a DFT calculation (PBE) of a geometry-optimized CsY2Ga2 structure.

**VASP energy**: -3.971 eV/atom
**Energy relative to the elements**: -0.004 eV per atom
**ΔE to the lowest computed polymorph**: 0.130 eV per atom
**D(E_F)**: 7.17 states/eV per cell

Lattice parameters (Å, degrees): 9.0800 9.0800 3.5574 90.00 90.00 90.00
Closest atoms and distances in Å follow each position.
Space group P4/mbm (No. 127)
Asymmetric unit:
Cs: 0.0000 0.0000 0.0000 [2 per cell]  2 Cs 3.56, 4 Ga 3.66, 8 Y 3.83
Y: 0.1651 0.3349 0.5000 [4 per cell]  6 Ga 3.13-3.35
Ga: 0.1135 0.6135 0.0000 [4 per cell]  1 Ga 2.92, 4 Y 3.13

***

The following is a DFT calculation (PBE) of a geometry-optimized CsZn2Ga8 structure.

**VASP energy**: -2.506 eV/atom
**Energy relative to the elements**: 0.004 eV per atom
**D(E_F)**: 6.06 states/eV per cell

Lattice parameters (Å, degrees): 12.0665 7.1926 6.0222 90.00 97.95 90.00
Closest atoms and distances in Å follow each position.
Space group C2/m (No. 12)
Asymmetric unit:
Cs: 0.0000 0.0000 0.0000 [2 per cell]  14 Ga 3.67-3.95, 2 Zn 3.69
Zn: 0.2424 0.0000 0.6868 [4 per cell]  4 Ga 2.56-2.68
Ga: 0.0340 0.5000 0.2176 [4 per cell]  7 Ga 2.63-2.94, 1 Zn 2.68
Ga: 0.1143 0.2754 0.5520 [8 per cell]  1 Zn 2.57, 3 Ga 2.66-2.74
Ga: 0.1933 0.5000 0.8903 [4 per cell]  1 Zn 2.56, 3 Ga 2.67-2.73